First-principles (PBE-GGA) data for Ti3Re2Mo6 after structural relaxation, as listed in the Alexandria database.

Cell lengths 9.8469, 5.1903, 8.0149 Å; angles 90.00, 118.90, 90.00 degrees
With the nearest neighbours (Å) after each atom.
Fractional coordinates of all 22 atoms:
Re 0.5453 0.2369 0.9626  6 Mo 2.59-2.75, 1 Ti 2.71, 1 Re 2.78
Mo 0.7841 0.6743 0.6986  2 Mo 2.57-2.75, 1 Re 2.59, 4 Ti 2.62-2.87
Mo 0.6370 0.7050 0.8892  3 Mo 2.57-2.75, 2 Re 2.60-2.75, 2 Ti 2.61-2.75
Ti 0.0957 0.5044 0.8824  4 Mo 2.61-2.85, 1 Re 2.71
Mo 0.8630 0.2050 0.6108  3 Mo 2.57-2.75, 2 Re 2.60-2.75, 2 Ti 2.61-2.75
Ti 0.0000 0.0000 0.0000  6 Mo 2.62-2.94
Mo 0.2841 0.8257 0.1986  2 Mo 2.57-2.75, 1 Re 2.59, 4 Ti 2.62-2.87
Re 0.4547 0.7631 0.0374  6 Mo 2.59-2.75, 1 Ti 2.71, 1 Re 2.78
Ti 0.9043 0.4956 0.1176  4 Mo 2.61-2.85, 1 Re 2.71
Mo 0.2002 0.0107 0.7923  3 Re 2.65-2.69, 3 Mo 2.70-2.97, 1 Ti 2.95
Ti 0.5000 0.5000 0.5000  6 Mo 2.62-2.94
Mo 0.2159 0.3257 0.3014  2 Mo 2.57-2.75, 1 Re 2.59, 4 Ti 2.62-2.87
Mo 0.1370 0.7950 0.3892  3 Mo 2.57-2.75, 2 Re 2.60-2.75, 2 Ti 2.61-2.75
Mo 0.7002 0.4893 0.2923  3 Re 2.65-2.69, 3 Mo 2.70-2.97, 1 Ti 2.95
Mo 0.7159 0.1743 0.8014  2 Mo 2.57-2.75, 1 Re 2.59, 4 Ti 2.62-2.87
Ti 0.4043 0.0044 0.6176  4 Mo 2.61-2.85, 1 Re 2.71
Ti 0.5957 0.9956 0.3824  4 Mo 2.61-2.85, 1 Re 2.71
Re 0.0453 0.2631 0.4626  6 Mo 2.59-2.75, 1 Ti 2.71, 1 Re 2.78
Mo 0.3630 0.2950 0.1108  3 Mo 2.57-2.75, 2 Re 2.60-2.75, 2 Ti 2.61-2.75
Re 0.9547 0.7369 0.5374  6 Mo 2.59-2.75, 1 Ti 2.71, 1 Re 2.78
Mo 0.2998 0.5107 0.7077  3 Re 2.65-2.69, 3 Mo 2.70-2.97, 1 Ti 2.95
Mo 0.7998 0.9893 0.2077  3 Re 2.65-2.69, 3 Mo 2.70-2.97, 1 Ti 2.95

Calculated values
Calculated density: 10.11 g/cm3
ΔH_f (0 K): 0.098 eV/atom
Magnetization: 0.00 μB per atom

=====

First-principles (PBE-GGA) data for Ti3Re2Mo after structural relaxation, as listed in the Alexandria database.

Cell lengths 8.5984, 4.5938, 5.2283 Å; angles 116.06, 90.00, 90.00 degrees
With the nearest neighbours (Å) after each atom.
Fractional coordinates of all 12 atoms:
Ti 0.5000 0.5000 0.0000  4 Re 2.66, 4 Ti 2.79
Re 0.2500 0.3328 0.6655  4 Ti 2.64-2.66, 2 Re 2.77, 2 Mo 2.78
Re 0.7500 0.6672 0.3345  4 Ti 2.64-2.66, 2 Re 2.77, 2 Mo 2.78
Ti 0.5000 0.8313 0.6627  2 Re 2.64, 2 Mo 2.67, 4 Ti 2.76-2.79
Re 0.7500 0.3327 0.6655  4 Ti 2.64-2.66, 2 Re 2.77, 2 Mo 2.78
Mo 0.2500 0.0000 0.0000  4 Ti 2.67, 4 Re 2.78
Ti 0.5000 0.1687 0.3373  2 Re 2.64, 2 Mo 2.67, 4 Ti 2.76-2.79
Ti 0.0000 0.8313 0.6627  2 Re 2.64, 2 Mo 2.67, 4 Ti 2.76-2.79
Ti 0.0000 0.5000 0.0000  4 Re 2.66, 4 Ti 2.79
Re 0.2500 0.6673 0.3345  4 Ti 2.64-2.66, 2 Re 2.77, 2 Mo 2.78
Mo 0.7500 0.0000 0.0000  4 Ti 2.67, 4 Re 2.78
Ti 0.0000 0.1687 0.3373  2 Re 2.64, 2 Mo 2.67, 4 Ti 2.76-2.79

Calculated values
Calculated density: 10.96 g/cm3
ΔH_f (0 K): -0.256 eV/atom
Magnetization: 0.00 μB per atom

=====

First-principles (PBE-GGA) data for TiReMo4 after structural relaxation, as listed in the Alexandria database.

Cell lengths 4.6100, 5.2320, 8.6286 Å; angles 72.35, 85.88, 76.29 degrees
With the nearest neighbours (Å) after each atom.
Fractional coordinates of all 12 atoms:
Mo 0.2570 0.2114 0.0786  5 Mo 2.59-2.82, 1 Re 2.74, 1 Ti 2.78
Mo 0.2473 0.5395 0.4210  5 Mo 2.61-2.82, 1 Re 2.74, 1 Ti 2.76
Re 0.2500 0.1259 0.7483  2 Ti 2.62, 4 Mo 2.74
Mo 0.7430 0.7886 0.9214  5 Mo 2.59-2.82, 1 Re 2.74, 1 Ti 2.78
Mo 0.7570 0.2900 0.9214  5 Mo 2.59-2.82, 1 Re 2.74, 1 Ti 2.78
Mo 0.7527 0.4605 0.5790  5 Mo 2.61-2.82, 1 Re 2.74, 1 Ti 2.76
Ti 0.7500 0.3751 0.2499  2 Re 2.62, 4 Mo 2.76-2.78
Ti 0.2500 0.6249 0.7501  2 Re 2.62, 4 Mo 2.76-2.78
Mo 0.2527 0.0395 0.4210  5 Mo 2.61-2.82, 1 Re 2.74, 1 Ti 2.76
Re 0.7500 0.8741 0.2517  2 Ti 2.62, 4 Mo 2.74
Mo 0.7473 0.9605 0.5790  5 Mo 2.61-2.82, 1 Re 2.74, 1 Ti 2.76
Mo 0.2430 0.7100 0.0786  5 Mo 2.59-2.82, 1 Re 2.74, 1 Ti 2.78

Calculated values
Calculated density: 10.65 g/cm3
ΔH_f (0 K): 0.182 eV/atom
Magnetization: 0.00 μB per atom

=====

First-principles (PBE-GGA) data for TiReMo2 after structural relaxation, as listed in the Alexandria database.

Cell lengths 4.4400, 4.4400, 4.4400 Å; angles 60.00, 60.00, 60.00 degrees
With the nearest neighbours (Å) after each atom.
Fractional coordinates of all 4 atoms:
Ti 0.0000 0.0000 0.0000  8 Mo 2.72
Re 0.5000 0.5000 0.5000  8 Mo 2.72
Mo 0.7500 0.7500 0.7500  4 Re 2.72, 4 Ti 2.72
Mo 0.2500 0.2500 0.2500  4 Re 2.72, 4 Ti 2.72

Calculated values
Calculated density: 11.43 g/cm3
ΔH_f (0 K): -0.222 eV/atom
Magnetization: 0.00 μB per atom

=====

Number 2 is which compound? Ti3Re2Mo

=====

What is the formula in the third record? TiReMo4

=====

Look up the calculated density of the fourth one. 11.43 g/cm3